Mg2AgSb (GGA-PBEsol, optimized geometry); ΔE_f (raw) = -30 meV per atom; space group = F-43m
1.0
-3.632 -2.810 1.876
0.576 -4.917 0.308
0.570 -2.158 4.430
Ag Mg Sb
1 2 1
Direct
0.500 0.500 0.500
0.000 0.000 0.000
0.250 0.250 0.250
0.750 0.750 0.750